! LiHg2IF GGA-PBE relaxed; values from VASP
! - energy relative to the lowest polymorph listed for this composition (meV per atom) = 172
! - E_tot (eV/cell) = -6.854
&SYSTEM
  ibrav = 0, nat = 5, ntyp = 4
/
ATOMIC_SPECIES
I 126.90 I.upf
Li 6.94 Li.upf
Hg 200.59 Hg.upf
F 19.00 F.upf
ATOMIC_POSITIONS crystal
I 0.000 0.000 0.000
Li 0.500 0.500 0.500
Hg 0.000 0.000 0.500
Hg 0.500 0.000 0.000
F 0.000 0.500 0.000
CELL_PARAMETERS angstrom
6.749 0.000 0.000
0.000 4.610 0.000
0.000 0.000 6.749


! HgIN2F GGA-PBE relaxed; values from VASP
! - energy relative to the lowest polymorph listed for this composition (meV per atom) = 243
! - E_tot (eV/cell) = -12.861
&SYSTEM
  ibrav = 0, nat = 5, ntyp = 4
/
ATOMIC_SPECIES
I 126.90 I.upf
N 14.01 N.upf
Hg 200.59 Hg.upf
F 19.00 F.upf
ATOMIC_POSITIONS crystal
I 0.500 0.500 0.500
N 0.000 0.500 0.000
N 0.500 0.000 0.000
Hg 0.000 0.000 0.000
F 0.000 0.000 0.500
CELL_PARAMETERS angstrom
-1.136 -4.341 0.376
4.026 -1.194 -1.626
1.684 -0.075 4.227


! HgIN2F GGA-PBE relaxed; values from VASP
! - energy relative to the lowest polymorph listed for this composition (meV per atom) = 575
! - E_tot (eV/cell) = -11.201
&SYSTEM
  ibrav = 0, nat = 5, ntyp = 4
/
ATOMIC_SPECIES
I 126.90 I.upf
N 14.01 N.upf
Hg 200.59 Hg.upf
F 19.00 F.upf
ATOMIC_POSITIONS crystal
I 0.000 0.000 0.500
N 0.000 0.500 0.000
N 0.500 0.000 0.000
Hg 0.500 0.500 0.500
F 0.000 0.000 0.000
CELL_PARAMETERS angstrom
5.516 0.000 0.000
0.000 5.516 0.000
0.000 0.000 4.380


! HgIN2F GGA-PBE relaxed; values from VASP
! - energy relative to the lowest polymorph listed for this composition (meV per atom) = 0
! - E_tot (eV/cell) = -14.076
&SYSTEM
  ibrav = 0, nat = 5, ntyp = 4
/
ATOMIC_SPECIES
I 126.90 I.upf
N 14.01 N.upf
Hg 200.59 Hg.upf
F 19.00 F.upf
ATOMIC_POSITIONS crystal
I 0.000 0.000 0.000
N 0.000 0.000 0.500
N 0.500 0.000 0.000
Hg 0.500 0.500 0.500
F 0.000 0.500 0.000
CELL_PARAMETERS angstrom
-3.509 -1.271 -1.750
1.213 -4.463 0.810
-1.883 0.154 3.663


! HgIN2F GGA-PBE relaxed; values from VASP
! - energy relative to the lowest polymorph listed for this composition (meV per atom) = 393
! - E_tot (eV/cell) = -12.111
&SYSTEM
  ibrav = 0, nat = 5, ntyp = 4
/
ATOMIC_SPECIES
I 126.90 I.upf
N 14.01 N.upf
Hg 200.59 Hg.upf
F 19.00 F.upf
ATOMIC_POSITIONS crystal
I 0.000 0.000 0.500
N 0.000 0.500 0.000
N 0.500 0.000 0.000
Hg 0.000 0.000 0.000
F 0.500 0.500 0.500
CELL_PARAMETERS angstrom
-0.857 1.234 4.052
-3.289 -2.799 0.157
4.025 -4.603 2.252


! Hg2IOF GGA-PBE relaxed; values from VASP
! - E_tot (eV/cell) = -23.747
&SYSTEM
  ibrav = 0, nat = 10, ntyp = 4
/
ATOMIC_SPECIES
Hg 200.59 Hg.upf
I 126.90 I.upf
O 16.00 O.upf
F 19.00 F.upf
ATOMIC_POSITIONS crystal
Hg 0.424 0.847 0.704
Hg 0.576 0.153 0.296
Hg 0.123 0.247 0.934
Hg 0.877 0.753 0.066
I 0.342 0.685 0.365
I 0.658 0.315 0.635
O 0.043 0.086 0.180
O 0.957 0.914 0.820
F 0.697 0.394 0.073
F 0.303 0.606 0.927
CELL_PARAMETERS angstrom
4.111 0.000 0.000
-2.055 6.594 0.265
0.000 -1.289 8.090


! HgIOF2 GGA-PBE relaxed; values from VASP
! - energy relative to the lowest polymorph listed for this composition (meV per atom) = 0
! - E_tot (eV/cell) = -13.038
&SYSTEM
  ibrav = 0, nat = 5, ntyp = 4
/
ATOMIC_SPECIES
I 126.90 I.upf
Hg 200.59 Hg.upf
O 16.00 O.upf
F 19.00 F.upf
ATOMIC_POSITIONS crystal
I 0.000 0.000 0.000
Hg 0.500 0.500 0.500
O 0.000 0.000 0.500
F 0.000 0.500 0.000
F 0.500 0.000 0.000
CELL_PARAMETERS angstrom
-3.966 2.328 1.474
-2.751 -3.489 -1.893
0.127 -1.991 3.487


! HgIO4F GGA-PBE relaxed; values from VASP
! - E_tot (eV/cell) = -51.398
&SYSTEM
  ibrav = 0, nat = 14, ntyp = 4
/
ATOMIC_SPECIES
Hg 200.59 Hg.upf
I 126.90 I.upf
O 16.00 O.upf
F 19.00 F.upf
ATOMIC_POSITIONS crystal
Hg 0.190 0.190 0.819
Hg 0.810 0.810 0.181
I 0.629 0.629 0.719
I 0.371 0.371 0.281
O 0.362 0.362 0.524
O 0.638 0.638 0.476
O 0.098 0.468 0.266
O 0.565 0.565 0.125
O 0.532 0.902 0.734
O 0.468 0.098 0.266
O 0.435 0.435 0.875
O 0.902 0.532 0.734
F 0.062 0.062 0.124
F 0.938 0.938 0.876
CELL_PARAMETERS angstrom
-5.392 -1.963 3.336
1.704 -5.800 2.740
0.902 0.472 7.698


Question: The lowest E_tot belongs to which entry?
Answer: HgIO4F


Question: Among the records above, which one has the highest E_tot?
Answer: LiHg2IF